This record from the Alexandria database describes RbTmBS4 after structural relaxation. The functional is GGA-PBE.

Summary:
- E_form (uncorrected): -778 kJ/mol of formula units
- Volume: 23.25 Å³/atom
- ρ: 4.01 g cm⁻³

Lattice parameters (Å, degrees): 6.528 5.498 9.309 90.00 102.96 90.00
Space group P2_1/m (No. 11)
Symmetry-distinct sites (fractional):
Rb 0.242 0.250 0.463 x2
Tm 0.251 0.250 0.949 x2
B 0.246 0.750 0.163 x2
S 0.064 0.750 0.293 x2
S 0.117 0.750 0.957 x2
S 0.477 0.505 0.201 x4